(1)
! Ba2Zn2Cl | Alexandria | GGA-PBE | optimized geometry; values from VASP
&SYSTEM
  ibrav = 0, nat = 10, ntyp = 3
/
ATOMIC_SPECIES
Ba 137.33 Ba.upf
Zn 65.41 Zn.upf
Cl 35.45 Cl.upf
CELL_PARAMETERS angstrom
4.032 0.000 0.000
0.000 4.032 0.000
0.000 0.000 19.319
ATOMIC_POSITIONS crystal
Ba 0.000 0.000 0.109
Ba 0.000 0.000 0.891
Ba 0.500 0.500 0.391
Ba 0.500 0.500 0.609
Zn 0.000 0.500 0.250
Zn 0.000 0.500 0.750
Zn 0.500 0.000 0.250
Zn 0.500 0.000 0.750
Cl 0.000 0.000 0.500
Cl 0.500 0.500 0.000
! crystal system = tetragonal

(2)
! Ba2Zn2Cl | Alexandria | GGA-PBE | optimized geometry; values from VASP
&SYSTEM
  ibrav = 0, nat = 15, ntyp = 3
/
ATOMIC_SPECIES
Ba 137.33 Ba.upf
Zn 65.41 Zn.upf
Cl 35.45 Cl.upf
CELL_PARAMETERS angstrom
4.611 0.000 0.000
-2.306 3.993 0.000
0.000 0.000 26.322
ATOMIC_POSITIONS crystal
Ba 0.000 0.000 0.084
Ba 0.000 0.000 0.916
Ba 0.333 0.667 0.583
Ba 0.333 0.667 0.751
Ba 0.667 0.333 0.249
Ba 0.667 0.333 0.417
Zn 0.000 0.000 0.333
Zn 0.000 0.000 0.667
Zn 0.333 0.667 0.000
Zn 0.333 0.667 0.334
Zn 0.667 0.333 0.000
Zn 0.667 0.333 0.666
Cl 0.000 0.000 0.500
Cl 0.333 0.667 0.167
Cl 0.667 0.333 0.833
! crystal system = trigonal

(3)
! Ba2Zn2Cl | Alexandria | GGA-PBE | optimized geometry; values from VASP
&SYSTEM
  ibrav = 0, nat = 10, ntyp = 3
/
ATOMIC_SPECIES
Ba 137.33 Ba.upf
Zn 65.41 Zn.upf
Cl 35.45 Cl.upf
CELL_PARAMETERS angstrom
8.909 0.000 0.000
0.000 8.909 0.000
0.000 0.000 4.704
ATOMIC_POSITIONS crystal
Ba 0.198 0.302 0.000
Ba 0.302 0.802 0.000
Ba 0.698 0.198 0.000
Ba 0.802 0.698 0.000
Zn 0.096 0.596 0.500
Zn 0.404 0.096 0.500
Zn 0.596 0.904 0.500
Zn 0.904 0.404 0.500
Cl 0.000 0.000 0.000
Cl 0.500 0.500 0.000
! crystal system = tetragonal

Energies relative to the most stable structure, in eV/atom: (1) 0.271; (2) 0.000; (3) 0.199.

(1)
! BaZnCl3 | Alexandria | GGA-PBE | optimized geometry; values from VASP
&SYSTEM
  ibrav = 0, nat = 5, ntyp = 3
/
ATOMIC_SPECIES
Ba 137.33 Ba.upf
Zn 65.41 Zn.upf
Cl 35.45 Cl.upf
CELL_PARAMETERS angstrom
6.032 0.000 0.000
0.000 6.032 0.000
0.000 0.000 6.032
ATOMIC_POSITIONS crystal
Ba 0.000 0.000 0.000
Zn 0.500 0.500 0.500
Cl 0.000 0.000 0.500
Cl 0.000 0.500 0.000
Cl 0.500 0.000 0.000
! crystal system = cubic

(2)
! BaZnCl3 | Alexandria | GGA-PBE | optimized geometry; values from VASP
&SYSTEM
  ibrav = 0, nat = 5, ntyp = 3
/
ATOMIC_SPECIES
Ba 137.33 Ba.upf
Zn 65.41 Zn.upf
Cl 35.45 Cl.upf
CELL_PARAMETERS angstrom
5.135 0.000 0.000
0.000 5.135 0.000
0.000 0.000 5.135
ATOMIC_POSITIONS crystal
Ba 0.000 0.000 0.000
Zn 0.500 0.500 0.500
Cl 0.000 0.500 0.500
Cl 0.500 0.000 0.500
Cl 0.500 0.500 0.000
! crystal system = cubic

Energies relative to the most stable structure, in eV/atom: (1) 0.272; (2) 0.000.

(1)
! Ba2ZnCl | Alexandria | GGA-PBE | optimized geometry; values from VASP
&SYSTEM
  ibrav = 0, nat = 16, ntyp = 3
/
ATOMIC_SPECIES
Ba 137.33 Ba.upf
Zn 65.41 Zn.upf
Cl 35.45 Cl.upf
CELL_PARAMETERS angstrom
8.176 0.000 0.000
0.000 8.176 0.000
0.000 0.000 8.176
ATOMIC_POSITIONS crystal
Ba 0.000 0.000 0.000
Ba 0.000 0.500 0.500
Ba 0.250 0.250 0.250
Ba 0.250 0.750 0.750
Ba 0.500 0.000 0.500
Ba 0.500 0.500 0.000
Ba 0.750 0.250 0.750
Ba 0.750 0.750 0.250
Zn 0.250 0.250 0.750
Zn 0.250 0.750 0.250
Zn 0.750 0.250 0.250
Zn 0.750 0.750 0.750
Cl 0.000 0.000 0.500
Cl 0.000 0.500 0.000
Cl 0.500 0.000 0.000
Cl 0.500 0.500 0.500
! crystal system = cubic

(2)
! Ba2ZnCl | Alexandria | GGA-PBE | optimized geometry; values from VASP
&SYSTEM
  ibrav = 0, nat = 4, ntyp = 3
/
ATOMIC_SPECIES
Ba 137.33 Ba.upf
Zn 65.41 Zn.upf
Cl 35.45 Cl.upf
CELL_PARAMETERS angstrom
4.198 0.000 0.000
0.000 4.104 0.000
-0.027 0.000 8.975
ATOMIC_POSITIONS crystal
Ba 0.001 0.000 0.224
Ba 0.999 0.000 0.776
Zn 0.500 0.500 0.000
Cl 0.000 0.500 0.500
! crystal system = monoclinic

Energies relative to the most stable structure, in eV/atom: (1) 0.662; (2) 0.000.

(1)
! Ba2ZnCl | Alexandria | GGA-PBE | optimized geometry; values from VASP
&SYSTEM
  ibrav = 0, nat = 8, ntyp = 3
/
ATOMIC_SPECIES
Ba 137.33 Ba.upf
Zn 65.41 Zn.upf
Cl 35.45 Cl.upf
CELL_PARAMETERS angstrom
4.153 0.000 0.000
0.000 4.327 0.000
0.000 0.000 16.947
ATOMIC_POSITIONS crystal
Ba 0.000 0.000 0.000
Ba 0.000 0.500 0.255
Ba 0.500 0.000 0.755
Ba 0.500 0.500 0.500
Zn 0.000 0.000 0.410
Zn 0.500 0.500 0.910
Cl 0.000 0.500 0.670
Cl 0.500 0.000 0.170
! crystal system = orthorhombic

(2)
! Ba2ZnCl | Alexandria | GGA-PBE | optimized geometry; values from VASP
&SYSTEM
  ibrav = 0, nat = 16, ntyp = 3
/
ATOMIC_SPECIES
Ba 137.33 Ba.upf
Zn 65.41 Zn.upf
Cl 35.45 Cl.upf
CELL_PARAMETERS angstrom
8.424 0.000 0.000
0.000 8.424 0.000
0.000 0.000 9.687
ATOMIC_POSITIONS crystal
Ba 0.237 0.250 0.125
Ba 0.250 0.737 0.375
Ba 0.250 0.763 0.875
Ba 0.263 0.250 0.625
Ba 0.737 0.750 0.625
Ba 0.750 0.237 0.875
Ba 0.750 0.263 0.375
Ba 0.763 0.750 0.125
Zn 0.000 0.000 0.500
Zn 0.000 0.500 0.750
Zn 0.500 0.000 0.250
Zn 0.500 0.500 0.000
Cl 0.000 0.000 0.000
Cl 0.000 0.500 0.250
Cl 0.500 0.000 0.750
Cl 0.500 0.500 0.500
! crystal system = tetragonal

(3)
! Ba2ZnCl | Alexandria | GGA-PBE | optimized geometry; values from VASP
&SYSTEM
  ibrav = 0, nat = 8, ntyp = 3
/
ATOMIC_SPECIES
Ba 137.33 Ba.upf
Zn 65.41 Zn.upf
Cl 35.45 Cl.upf
CELL_PARAMETERS angstrom
16.559 0.000 0.000
0.000 4.300 0.000
-0.027 0.000 4.461
ATOMIC_POSITIONS crystal
Ba 0.000 0.000 0.000
Ba 0.249 0.000 0.496
Ba 0.500 0.500 0.000
Ba 0.749 0.500 0.496
Zn 0.168 0.500 0.996
Zn 0.668 0.000 0.996
Cl 0.441 0.000 0.499
Cl 0.941 0.500 0.499
! crystal system = monoclinic

Energies relative to the most stable structure, in eV/atom: (1) 0.040; (2) 0.094; (3) 0.000.

(1)
! Ba2ZnCl | Alexandria | GGA-PBE | optimized geometry; values from VASP
&SYSTEM
  ibrav = 0, nat = 12, ntyp = 3
/
ATOMIC_SPECIES
Ba 137.33 Ba.upf
Zn 65.41 Zn.upf
Cl 35.45 Cl.upf
CELL_PARAMETERS angstrom
4.641 0.000 0.000
-2.320 4.019 0.000
0.000 0.000 24.728
ATOMIC_POSITIONS crystal
Ba 0.000 0.000 0.250
Ba 0.000 0.000 0.750
Ba 0.333 0.667 0.417
Ba 0.333 0.667 0.917
Ba 0.667 0.333 0.083
Ba 0.667 0.333 0.583
Zn 0.000 0.000 0.000
Zn 0.333 0.667 0.667
Zn 0.667 0.333 0.333
Cl 0.000 0.000 0.500
Cl 0.333 0.667 0.167
Cl 0.667 0.333 0.833
! crystal system = trigonal

(2)
! Ba2ZnCl | Alexandria | GGA-PBE | optimized geometry; values from VASP
&SYSTEM
  ibrav = 0, nat = 8, ntyp = 3
/
ATOMIC_SPECIES
Ba 137.33 Ba.upf
Zn 65.41 Zn.upf
Cl 35.45 Cl.upf
CELL_PARAMETERS angstrom
8.376 0.000 0.000
0.000 8.379 0.000
-0.026 0.000 3.834
ATOMIC_POSITIONS crystal
Ba 0.250 0.250 0.000
Ba 0.250 0.750 0.000
Ba 0.750 0.250 0.000
Ba 0.750 0.750 0.000
Zn 0.000 0.000 0.500
Zn 0.500 0.500 0.500
Cl 0.000 0.500 0.500
Cl 0.500 0.000 0.500
! crystal system = monoclinic

Energies relative to the most stable structure, in eV/atom: (1) 0.000; (2) 0.100.

(1)
! Ba2ZrCl | Alexandria | GGA-PBE | optimized geometry; values from VASP
&SYSTEM
  ibrav = 0, nat = 12, ntyp = 3
/
ATOMIC_SPECIES
Ba 137.33 Ba.upf
Zr 91.22 Zr.upf
Cl 35.45 Cl.upf
CELL_PARAMETERS angstrom
4.002 0.000 0.000
-2.001 3.466 0.000
0.000 0.000 31.334
ATOMIC_POSITIONS crystal
Ba 0.000 0.000 0.243
Ba 0.000 0.000 0.757
Ba 0.333 0.667 0.424
Ba 0.333 0.667 0.909
Ba 0.667 0.333 0.091
Ba 0.667 0.333 0.576
Zr 0.000 0.000 0.000
Zr 0.333 0.667 0.667
Zr 0.667 0.333 0.333
Cl 0.000 0.000 0.500
Cl 0.333 0.667 0.167
Cl 0.667 0.333 0.833
! crystal system = trigonal

(2)
! Ba2ZrCl | Alexandria | GGA-PBE | optimized geometry; values from VASP
&SYSTEM
  ibrav = 0, nat = 8, ntyp = 3
/
ATOMIC_SPECIES
Ba 137.33 Ba.upf
Zr 91.22 Zr.upf
Cl 35.45 Cl.upf
CELL_PARAMETERS angstrom
13.048 0.000 0.000
0.000 3.682 0.000
-2.328 0.000 5.830
ATOMIC_POSITIONS crystal
Ba 0.000 0.000 0.000
Ba 0.191 0.000 0.657
Ba 0.500 0.500 0.000
Ba 0.691 0.500 0.657
Zr 0.419 0.000 0.434
Zr 0.919 0.500 0.434
Cl 0.274 0.500 0.135
Cl 0.774 0.000 0.135
! crystal system = monoclinic

Energies relative to the most stable structure, in eV/atom: (1) 0.000; (2) 0.191.